# GGA-PBE Li2Ga2Au3, optimized geometry
# ΔE to the lowest computed polymorph: 0.11 eV per formula unit
# crystal system: monoclinic
# ΔE_f: -0.402 eV/atom
data_Li2Ga2Au3
_chemical_formula_sum 'Li4 Ga4 Au6'
_space_group_name_H-M_alt 'C 1 2/m 1'
_space_group_IT_number 12
_cell_length_a 9.0195
_cell_length_b 4.1379
_cell_length_c 6.1669
_cell_angle_alpha 90.00
_cell_angle_beta 96.17
_cell_angle_gamma 90.00
loop_
_space_group_symop_operation_xyz
'x,y,z'
'-x,-y,-z'
'-x,y,-z'
'x,-y,z'
'x+1/2,y+1/2,z'
'-x+1/2,-y+1/2,-z'
'-x+1/2,y+1/2,-z'
'x+1/2,-y+1/2,z'
loop_
_atom_site_label
_atom_site_type_symbol
_atom_site_fract_x
_atom_site_fract_y
_atom_site_fract_z
_atom_site_occupancy
Li1 Li 0.0672 0.0000 0.2132 1
Ga1 Ga 0.2169 0.0000 0.6550 1
Au1 Au 0.0000 0.5000 0.5000 1
Au2 Au 0.1430 0.5000 0.9311 1

# GGA-PBE ZrIr2Os, optimized geometry
# ΔE to the lowest computed polymorph: 0.00 eV per formula unit
# crystal system: tetragonal
# ΔE_f: -0.469 eV/atom
data_ZrIr2Os
_chemical_formula_sum 'Zr1 Ir2 Os1'
_space_group_name_H-M_alt 'P 4/m m m'
_space_group_IT_number 123
_space_group_name_Hall '-P 4 2'
_cell_length_a 4.0050
_cell_length_b 4.0050
_cell_length_c 3.9471
_cell_angle_alpha 90.00
_cell_angle_beta 90.00
_cell_angle_gamma 90.00
loop_
_atom_site_label
_atom_site_type_symbol
_atom_site_fract_x
_atom_site_fract_y
_atom_site_fract_z
_atom_site_occupancy
Zr1 Zr 0.0000 0.0000 0.0000 1
Ir1 Ir 0.0000 0.5000 0.5000 1
Os1 Os 0.5000 0.5000 0.0000 1

# GGA-PBE Pm2Nd2Co, optimized geometry
# crystal system: monoclinic
# ΔE_f: -0.015 eV/atom
data_Pm2Nd2Co
_chemical_formula_sum 'Pm8 Nd8 Co4'
_space_group_name_H-M_alt 'C 1 2/m 1'
_space_group_IT_number 12
_cell_length_a 7.5480
_cell_length_b 11.8809
_cell_length_c 7.3301
_cell_angle_alpha 90.00
_cell_angle_beta 112.83
_cell_angle_gamma 90.00
loop_
_space_group_symop_operation_xyz
'x,y,z'
'-x,-y,-z'
'-x,y,-z'
'x,-y,z'
'x+1/2,y+1/2,z'
'-x+1/2,-y+1/2,-z'
'-x+1/2,y+1/2,-z'
'x+1/2,-y+1/2,z'
loop_
_atom_site_label
_atom_site_type_symbol
_atom_site_fract_x
_atom_site_fract_y
_atom_site_fract_z
_atom_site_occupancy
Pm1 Pm 0.0469 0.2288 0.2580 1
Nd1 Nd 0.2251 0.5000 0.9005 1
Nd2 Nd 0.2452 0.0000 0.5950 1
Co1 Co 0.0000 0.3800 0.5000 1

# GGA-PBE Sr3Ag2Au3, optimized geometry
# crystal system: orthorhombic
# ΔE_f: -0.587 eV/atom
data_Sr3Ag2Au3
_chemical_formula_sum 'Sr12 Ag8 Au12'
_space_group_name_H-M_alt 'C m c m'
_space_group_IT_number 63
_space_group_name_Hall '-C 2c 2'
_cell_length_a 4.6889
_cell_length_b 11.5763
_cell_length_c 15.9649
_cell_angle_alpha 90.00
_cell_angle_beta 90.00
_cell_angle_gamma 90.00
loop_
_atom_site_label
_atom_site_type_symbol
_atom_site_fract_x
_atom_site_fract_y
_atom_site_fract_z
_atom_site_occupancy
Sr1 Sr 0.0000 0.0898 0.1018 1
Sr2 Sr 0.0000 0.3660 0.2500 1
Ag1 Ag 0.0000 0.2105 0.6023 1
Au1 Au 0.0000 0.3487 0.7500 1
Au2 Au 0.0000 0.3923 0.0425 1